[1]
Density functional theory data (PBE) for crystalline La2VH at its relaxed geometry.

E above lowest polymorph: 0 meV per atom

CIF file:
```
data_La2VH
_symmetry_space_group_name_H-M 'I -4 2 d'
_symmetry_Int_Tables_number 122
_symmetry_space_group_name_Hall 'I -4 2bw'
_cell_length_a 5.363
_cell_length_b 5.363
_cell_length_c 13.400
_cell_angle_alpha 90.00
_cell_angle_beta 90.00
_cell_angle_gamma 90.00
loop_
_atom_site_label
_atom_site_type_symbol
_atom_site_fract_x
_atom_site_fract_y
_atom_site_fract_z
La1 La 0.205 0.250 0.125
V1 V 0.000 0.000 0.500
H1 H 0.000 0.000 0.000
```



[2]
Density functional theory data (PBE) for crystalline La7Tb6Y16 at its relaxed geometry.

formation enthalpy at 0 K: 266 meV per atom

CIF file:
```
data_La7Tb6Y16
_symmetry_space_group_name_H-M 'F m -3 m'
_symmetry_Int_Tables_number 225
_symmetry_space_group_name_Hall '-F 4 2 3'
_cell_length_a 16.094
_cell_length_b 16.094
_cell_length_c 16.094
_cell_angle_alpha 90.00
_cell_angle_beta 90.00
_cell_angle_gamma 90.00
loop_
_atom_site_label
_atom_site_type_symbol
_atom_site_fract_x
_atom_site_fract_y
_atom_site_fract_z
La1 La 0.000 0.000 0.000
La2 La 0.000 0.250 0.250
Tb1 Tb 0.000 0.000 0.251
Y1 Y 0.130 0.130 0.130
Y2 Y 0.149 0.149 0.351
```



[3]
Density functional theory data (PBE) for crystalline Pm3Ni5H12 at its relaxed geometry.

total energy: -4.420 eV per atom

CIF file:
```
data_Pm3Ni5H12
_symmetry_space_group_name_H-M 'I a -3 d'
_symmetry_Int_Tables_number 230
_symmetry_space_group_name_Hall '-I 4bd 2c 3'
_cell_length_a 11.459
_cell_length_b 11.459
_cell_length_c 11.459
_cell_angle_alpha 90.00
_cell_angle_beta 90.00
_cell_angle_gamma 90.00
loop_
_atom_site_label
_atom_site_type_symbol
_atom_site_fract_x
_atom_site_fract_y
_atom_site_fract_z
Pm1 Pm 0.000 0.250 0.125
Ni1 Ni 0.000 0.000 0.000
Ni2 Ni 0.000 0.250 0.375
H1 H 0.040 0.042 0.638
```



[4]
Density functional theory data (PBE) for crystalline KSr2Br at its relaxed geometry.

ΔE_f (raw): -0.390 eV per atom

CIF file:
```
data_KSr2Br
_symmetry_space_group_name_H-M 'P m m m'
_symmetry_Int_Tables_number 47
_cell_length_a 4.410
_cell_length_b 6.724
_cell_length_c 6.732
_cell_angle_alpha 90.00
_cell_angle_beta 90.00
_cell_angle_gamma 90.00
loop_
_symmetry_equiv_pos_as_xyz
'x,y,z'
'-x,-y,-z'
'-x,-y,z'
'x,y,-z'
'x,-y,-z'
'-x,y,z'
'-x,y,-z'
'x,-y,z'
loop_
_atom_site_label
_atom_site_type_symbol
_atom_site_fract_x
_atom_site_fract_y
_atom_site_fract_z
K1 K 0.000 0.000 0.000
Sr1 Sr 0.000 0.500 0.500
Sr2 Sr 0.500 0.500 0.000
Br1 Br 0.500 0.000 0.500
```



[5]
Density functional theory data (PBE) for crystalline Sc6AlOs5 at its relaxed geometry.

formation enthalpy at 0 K: -415 meV per atom

CIF file:
```
data_Sc6AlOs5
_symmetry_space_group_name_H-M 'C m m m'
_symmetry_Int_Tables_number 65
_symmetry_space_group_name_Hall '-C 2 2'
_cell_length_a 4.557
_cell_length_b 13.705
_cell_length_c 6.513
_cell_angle_alpha 90.00
_cell_angle_beta 90.00
_cell_angle_gamma 90.00
loop_
_atom_site_label
_atom_site_type_symbol
_atom_site_fract_x
_atom_site_fract_y
_atom_site_fract_z
Sc1 Sc 0.000 0.000 0.237
Sc2 Sc 0.000 0.328 0.246
Al1 Al 0.000 0.500 0.500
Os1 Os 0.000 0.161 0.500
Os2 Os 0.000 0.166 0.000
Os3 Os 0.000 0.500 0.000
```



[6]
Density functional theory data (PBE) for crystalline Pu2SNCl2 at its relaxed geometry.

ΔE_f (raw): -1.656 eV per atom

CIF file:
```
data_Pu2SNCl2
_symmetry_space_group_name_H-M 'P m c 21'
_symmetry_Int_Tables_number 26
_cell_length_a 3.833
_cell_length_b 10.842
_cell_length_c 7.012
_cell_angle_alpha 90.00
_cell_angle_beta 90.00
_cell_angle_gamma 90.00
loop_
_symmetry_equiv_pos_as_xyz
'x,y,z'
'-x,-y,z+1/2'
'-x,y,z'
'x,-y,z+1/2'
loop_
_atom_site_label
_atom_site_type_symbol
_atom_site_fract_x
_atom_site_fract_y
_atom_site_fract_z
Pu1 Pu 0.000 0.064 0.000
Pu2 Pu 0.500 0.224 0.397
S1 S 0.500 0.069 0.693
N1 N 0.000 0.124 0.331
Cl1 Cl 0.000 0.389 0.513
Cl2 Cl 0.500 0.270 0.021
```



[7]
Density functional theory data (PBE) for crystalline PrMg2GeAu4 at its relaxed geometry.

formation enthalpy at 0 K: -503 meV per atom

CIF file:
```
data_PrMg2GeAu4
_symmetry_space_group_name_H-M 'R -3 m'
_symmetry_Int_Tables_number 166
_symmetry_space_group_name_Hall '-R 3 2"'
_cell_length_a 4.5556
_cell_length_b 4.5556
_cell_length_c 27.9446
_cell_angle_alpha 90.00
_cell_angle_beta 90.00
_cell_angle_gamma 120.00
loop_
_atom_site_label
_atom_site_type_symbol
_atom_site_fract_x
_atom_site_fract_y
_atom_site_fract_z
Pr1 Pr 0.0000 0.0000 0.0000
Mg1 Mg 0.0000 0.0000 0.2394
Ge1 Ge 0.0000 0.0000 0.5000
Au1 Au 0.0000 0.0000 0.1265
Au2 Au 0.0000 0.0000 0.3943
```



[8]
Density functional theory data (PBE) for crystalline TbPrHgBi at its relaxed geometry.

formation enthalpy at 0 K: -543 meV per atom

CIF file:
```
data_TbPrHgBi
_symmetry_space_group_name_H-M 'F -4 3 m'
_symmetry_Int_Tables_number 216
_symmetry_space_group_name_Hall 'F -4 2 3'
_cell_length_a 7.736
_cell_length_b 7.736
_cell_length_c 7.736
_cell_angle_alpha 90.00
_cell_angle_beta 90.00
_cell_angle_gamma 90.00
loop_
_atom_site_label
_atom_site_type_symbol
_atom_site_fract_x
_atom_site_fract_y
_atom_site_fract_z
Tb1 Tb 0.000 0.000 0.000
Pr1 Pr 0.000 0.000 0.500
Hg1 Hg 0.250 0.250 0.750
Bi1 Bi 0.250 0.250 0.250
```



[9]
Density functional theory data (PBE) for crystalline LiLa14Tl at its relaxed geometry.

formation enthalpy at 0 K: 13 meV per atom

CIF file:
```
data_LiLa14Tl
_symmetry_space_group_name_H-M 'C m m m'
_symmetry_Int_Tables_number 65
_symmetry_space_group_name_Hall '-C 2 2'
_cell_length_a 7.622
_cell_length_b 12.054
_cell_length_c 12.194
_cell_angle_alpha 90.00
_cell_angle_beta 90.00
_cell_angle_gamma 90.00
loop_
_atom_site_label
_atom_site_type_symbol
_atom_site_fract_x
_atom_site_fract_y
_atom_site_fract_z
Li1 Li 0.000 0.000 0.000
La1 La 0.000 0.000 0.500
La2 La 0.000 0.263 0.251
La3 La 0.000 0.500 0.500
La4 La 0.237 0.000 0.226
La5 La 0.250 0.250 0.000
La6 La 0.250 0.250 0.500
Tl1 Tl 0.000 0.500 0.000
```



[10]
Density functional theory data (PBE) for crystalline Pr8CdOs2 at its relaxed geometry.

formation enthalpy at 0 K: -27 meV per atom

CIF file:
```
data_Pr8CdOs2
_symmetry_space_group_name_H-M 'C 1 m 1'
_symmetry_Int_Tables_number 8
_cell_length_a 9.042
_cell_length_b 13.603
_cell_length_c 5.767
_cell_angle_alpha 90.00
_cell_angle_beta 103.04
_cell_angle_gamma 90.00
loop_
_symmetry_equiv_pos_as_xyz
'x,y,z'
'x,-y,z'
'x+1/2,y+1/2,z'
'x+1/2,-y+1/2,z'
loop_
_atom_site_label
_atom_site_type_symbol
_atom_site_fract_x
_atom_site_fract_y
_atom_site_fract_z
Pr1 Pr 0.000 0.000 0.000
Pr2 Pr 0.085 0.370 0.778
Pr3 Pr 0.193 0.130 0.636
Pr4 Pr 0.275 0.500 0.412
Pr5 Pr 0.390 0.252 0.207
Cd1 Cd 0.387 0.000 0.207
Os1 Os 0.388 0.310 0.706
```



[11]
Density functional theory data (PBE) for crystalline CaMnBi2 at its relaxed geometry.

formation enthalpy at 0 K: -229 meV per atom

CIF file:
```
data_CaMnBi2
_symmetry_space_group_name_H-M 'P 4/n m m'
_symmetry_Int_Tables_number 129
_cell_length_a 4.582
_cell_length_b 4.582
_cell_length_c 10.482
_cell_angle_alpha 90.00
_cell_angle_beta 90.00
_cell_angle_gamma 90.00
loop_
_symmetry_equiv_pos_as_xyz
'x,y,z'
'-x,-y,-z'
'-y+1/2,x,z'
'y+1/2,-x,-z'
'-x+1/2,-y+1/2,z'
'x+1/2,y+1/2,-z'
'y,-x+1/2,z'
'-y,x+1/2,-z'
'x+1/2,-y,-z'
'-x+1/2,y,z'
'-y,-x,-z'
'y,x,z'
'-x,y+1/2,-z'
'x,-y+1/2,z'
'y+1/2,x+1/2,-z'
'-y+1/2,-x+1/2,z'
loop_
_atom_site_label
_atom_site_type_symbol
_atom_site_fract_x
_atom_site_fract_y
_atom_site_fract_z
Ca1 Ca 0.250 0.250 0.246
Mn1 Mn 0.250 0.750 0.500
Bi1 Bi 0.250 0.250 0.660
Bi2 Bi 0.250 0.750 0.000
```



[12]
Density functional theory data (PBE) for crystalline Pm2BeGa2Au4 at its relaxed geometry.

formation enthalpy at 0 K: -536 meV per atom

CIF file:
```
data_Pm2BeGa2Au4
_symmetry_space_group_name_H-M 'I 4/m m m'
_symmetry_Int_Tables_number 139
_symmetry_space_group_name_Hall '-I 4 2'
_cell_length_a 6.504
_cell_length_b 6.504
_cell_length_c 8.586
_cell_angle_alpha 90.00
_cell_angle_beta 90.00
_cell_angle_gamma 90.00
loop_
_atom_site_label
_atom_site_type_symbol
_atom_site_fract_x
_atom_site_fract_y
_atom_site_fract_z
Pm1 Pm 0.000 0.500 0.250
Be1 Be 0.000 0.000 0.000
Ga1 Ga 0.000 0.000 0.302
Au1 Au 0.244 0.244 0.500
```